An optimized crystal structure of LiZn2Ni. Source: the Open Quantum Materials Database, functional PBE-GGA.

Values from the calculation:
Symmetry: P6_3/mmc (194)
Uncorrected energy, eV/atom: -2.438
Crystal system: hexagonal
Energy above the lowest structure with this stoichiometry, eV per atom: 0.3181

```
8
Lattice="3.168 1.775 1.747 -3.595 0.051 1.819 1.688 -6.476 3.518" Properties=species:S:1:pos:R:3 pbc="T T T"
Li 1.335 -0.419 2.651
Li -0.075 -4.231 4.434
Ni 0.422 -1.619 0.880
Ni 1.266 -4.857 2.639
Zn -1.200 0.083 2.090
Zn -0.638 -2.070 3.260
Zn 1.899 -2.580 3.825
Zn 2.460 -4.733 4.995
```